Record 1
A plane-wave DFT calculation with GGA-PBE was carried out for a relaxed SrZn8Au2 crystal.

Geometry as CIF:
```
data_SrZn8Au2
_cell_length_a 5.236
_cell_length_b 5.236
_cell_length_c 9.473
_cell_angle_alpha 90.00
_cell_angle_beta 90.00
_cell_angle_gamma 90.00
_space_group_name_H-M_alt 'P 1'
_space_group_IT_number 1
_space_group_name_Hall 'P 1'
loop_
_atom_site_label
_atom_site_fract_x
_atom_site_fract_y
_atom_site_fract_z
Sr1 0.000 0.000 0.000
Zn1 0.251 0.251 0.290
Zn2 0.251 0.251 0.710
Zn3 0.251 0.749 0.290
Zn4 0.251 0.749 0.710
Zn5 0.749 0.251 0.290
Zn6 0.749 0.251 0.710
Zn7 0.749 0.749 0.290
Zn8 0.749 0.749 0.710
Au1 0.000 0.500 0.500
Au2 0.500 0.000 0.500
```

## Properties
**Fermi-level density of states**: 4.47 states/eV/f.u.
**E_form**: 42 meV per atom
**Space-group type**: No. 123
**Magnetization**: 0.0 μB per cell

***

Record 2
A plane-wave DFT calculation with GGA-PBE was carried out for a relaxed Zr2Cu2Ni15 crystal.

Geometry as CIF:
```
data_Zr2Cu2Ni15
_cell_length_a 6.194
_cell_length_b 6.194
_cell_length_c 6.194
_cell_angle_alpha 82.57
_cell_angle_beta 82.57
_cell_angle_gamma 82.57
_space_group_name_H-M_alt 'P 1'
_space_group_IT_number 1
_space_group_name_Hall 'P 1'
loop_
_atom_site_label
_atom_site_fract_x
_atom_site_fract_y
_atom_site_fract_z
Zr1 0.157 0.157 0.157
Zr2 0.843 0.843 0.843
Cu1 0.400 0.400 0.400
Cu2 0.600 0.600 0.600
Ni1 0.000 0.500 0.500
Ni2 0.153 0.153 0.660
Ni3 0.153 0.660 0.153
Ni4 0.193 0.500 0.807
Ni5 0.193 0.807 0.500
Ni6 0.340 0.847 0.847
Ni7 0.500 0.000 0.500
Ni8 0.500 0.193 0.807
Ni9 0.500 0.500 0.000
Ni10 0.500 0.807 0.193
Ni11 0.660 0.153 0.153
Ni12 0.807 0.193 0.500
Ni13 0.807 0.500 0.193
Ni14 0.847 0.340 0.847
Ni15 0.847 0.847 0.340
```

## Properties
**Fermi-level density of states**: 21.96 states/eV/f.u.
**E_form**: -164 meV per atom
**Space-group type**: No. 166
**Magnetization**: 3.8 μB per cell

***

Record 3
A plane-wave DFT calculation with GGA-PBE was carried out for a relaxed Sc3As2 crystal.

Geometry as CIF:
```
data_Sc3As2
_cell_length_a 7.120
_cell_length_b 3.903
_cell_length_c 14.808
_cell_angle_alpha 90.00
_cell_angle_beta 90.00
_cell_angle_gamma 90.00
_space_group_name_H-M_alt 'P 1'
_space_group_IT_number 1
_space_group_name_Hall 'P 1'
loop_
_atom_site_label
_atom_site_fract_x
_atom_site_fract_y
_atom_site_fract_z
Sc1 0.003 0.250 0.105
Sc2 0.137 0.750 0.432
Sc3 0.163 0.250 0.724
Sc4 0.337 0.750 0.224
Sc5 0.363 0.250 0.932
Sc6 0.497 0.750 0.605
Sc7 0.503 0.250 0.395
Sc8 0.637 0.750 0.068
Sc9 0.663 0.250 0.776
Sc10 0.837 0.750 0.276
Sc11 0.863 0.250 0.568
Sc12 0.997 0.750 0.895
As1 0.124 0.250 0.295
As2 0.242 0.750 0.044
As3 0.258 0.250 0.544
As4 0.376 0.750 0.795
As5 0.624 0.250 0.205
As6 0.742 0.750 0.456
As7 0.758 0.250 0.956
As8 0.876 0.750 0.705
```

## Properties
**Fermi-level density of states**: 3.64 states/eV/f.u.
**Excess energy over the best structure of this formula in the dataset**: 0 meV/atom
**E_form**: -1172 meV per atom
**Space-group type**: No. 62
**Magnetization**: 0.0 μB per cell

***

Record 4
A plane-wave DFT calculation with GGA-PBE was carried out for a relaxed Nd5OsCl5 crystal.

Geometry as CIF:
```
data_Nd5OsCl5
_cell_length_a 6.963
_cell_length_b 6.963
_cell_length_c 8.668
_cell_angle_alpha 106.80
_cell_angle_beta 106.80
_cell_angle_gamma 49.36
_space_group_name_H-M_alt 'P 1'
_space_group_IT_number 1
_space_group_name_Hall 'P 1'
loop_
_atom_site_label
_atom_site_fract_x
_atom_site_fract_y
_atom_site_fract_z
Nd1 0.000 0.000 0.000
Nd2 0.330 0.330 0.142
Nd3 0.348 0.348 0.699
Nd4 0.652 0.652 0.301
Nd5 0.670 0.670 0.858
Os1 0.500 0.500 0.000
Cl1 0.144 0.144 0.784
Cl2 0.169 0.169 0.360
Cl3 0.500 0.500 0.500
Cl4 0.831 0.831 0.640
Cl5 0.856 0.856 0.216
```

## Properties
**Fermi-level density of states**: 6.66 states/eV/f.u.
**Uncorrected formation energy**: -131 kJ per mole of atoms
**Space-group type**: No. 12
**Magnetization**: 0.0 μB per cell

***

Record 5
A plane-wave DFT calculation with GGA-PBE was carried out for a relaxed RuPtC2 crystal.

Geometry as CIF:
```
data_RuPtC2
_cell_length_a 5.689
_cell_length_b 5.689
_cell_length_c 5.689
_cell_angle_alpha 131.78
_cell_angle_beta 131.78
_cell_angle_gamma 70.58
_space_group_name_H-M_alt 'P 1'
_space_group_IT_number 1
_space_group_name_Hall 'P 1'
loop_
_atom_site_label
_atom_site_fract_x
_atom_site_fract_y
_atom_site_fract_z
Ru1 0.000 0.000 0.000
Ru2 0.750 0.250 0.500
Pt1 0.250 0.750 0.500
Pt2 0.500 0.500 0.000
C1 0.109 0.625 0.984
C2 0.375 0.359 0.484
C3 0.641 0.125 0.016
C4 0.875 0.891 0.516
```

## Properties
**Fermi-level density of states**: 1.64 states/eV/f.u.
**Excess energy over the best structure of this formula in the dataset**: 0 meV/atom
**E_form**: 642 meV per atom
**Space-group type**: No. 122
**Magnetization**: 0.0 μB per cell

***

Record 6
A plane-wave DFT calculation with GGA-PBE was carried out for a relaxed Ba2NpMnN5 crystal.

Geometry as CIF:
```
data_Ba2NpMnN5
_cell_length_a 7.884
_cell_length_b 7.884
_cell_length_c 11.379
_cell_angle_alpha 90.00
_cell_angle_beta 90.00
_cell_angle_gamma 154.11
_space_group_name_H-M_alt 'P 1'
_space_group_IT_number 1
_space_group_name_Hall 'P 1'
loop_
_atom_site_label
_atom_site_fract_x
_atom_site_fract_y
_atom_site_fract_z
Ba1 0.118 0.882 0.500
Ba2 0.137 0.863 0.155
Ba3 0.863 0.137 0.655
Ba4 0.882 0.118 0.000
Np1 0.191 0.809 0.848
Np2 0.809 0.191 0.348
Mn1 0.448 0.552 0.256
Mn2 0.552 0.448 0.756
N1 0.047 0.953 0.819
N2 0.302 0.698 0.462
N3 0.318 0.682 0.832
N4 0.327 0.673 0.228
N5 0.495 0.505 0.129
N6 0.505 0.495 0.629
N7 0.673 0.327 0.728
N8 0.682 0.318 0.332
N9 0.698 0.302 0.962
N10 0.953 0.047 0.319
```

## Properties
**Fermi-level density of states**: 4.28 states/eV/f.u.
**Uncorrected formation energy**: -66 kJ per mole of atoms
**Space-group type**: No. 36
**Magnetization**: 2.1 μB per cell

***

Record 7
A plane-wave DFT calculation with GGA-PBE was carried out for a relaxed ScGa2Fe2C crystal.

Geometry as CIF:
```
data_ScGa2Fe2C
_cell_length_a 3.796
_cell_length_b 3.796
_cell_length_c 5.450
_cell_angle_alpha 90.00
_cell_angle_beta 90.00
_cell_angle_gamma 90.00
_space_group_name_H-M_alt 'P 1'
_space_group_IT_number 1
_space_group_name_Hall 'P 1'
loop_
_atom_site_label
_atom_site_fract_x
_atom_site_fract_y
_atom_site_fract_z
Sc1 0.000 0.000 0.000
Ga1 0.500 0.500 0.220
Ga2 0.500 0.500 0.780
Fe1 0.000 0.500 0.500
Fe2 0.500 0.000 0.500
C1 0.000 0.000 0.500
```

## Properties
**Fermi-level density of states**: 3.29 states/eV/f.u.
**E_form**: -271 meV per atom
**Space-group type**: No. 123
**Magnetization**: 0.0 μB per cell